A relaxed NaSc3Mn crystal. Source: Alexandria, functional PBE.

a b c (Å): 4.9674 4.9674 4.9674
angles (deg): 90.00 90.00 90.00
Atoms (fractional coordinates):
1 Sc 0.0000 0.5000 0.0000
2 Sc 0.0000 0.0000 0.5000
3 Sc 0.5000 0.0000 0.0000
4 Na 0.5000 0.5000 0.5000
5 Mn 0.0000 0.0000 0.0000

DFT formation energy = 0.272 eV per atom
E = -5.625 eV per atom
Magnetization = 0.0 μB/f.u.

A relaxed DyHfCoRh crystal. Source: Alexandria, functional PBE.

a b c (Å): 4.6623 4.6623 4.6623
angles (deg): 60.00 60.00 60.00
Atoms (fractional coordinates):
1 Rh 0.0000 0.0000 0.0000
2 Co 0.5000 0.5000 0.5000
3 Hf 0.2500 0.2500 0.2500
4 Dy 0.7500 0.7500 0.7500

DFT formation energy = -0.507 eV per atom
E = -7.760 eV per atom
Magnetization = 0.0 μB/f.u.

A relaxed AsRuW2 crystal. Source: Alexandria, functional PBE.

a b c (Å): 2.9564 2.9564 6.9081
angles (deg): 90.00 90.00 90.01
Atoms (fractional coordinates):
1 Ru 0.5000 0.5000 0.7500
2 As 0.5000 0.5000 0.2500
3 W 0.0000 0.0000 0.0101
4 W 0.0000 0.0000 0.4899

DFT formation energy = 0.147 eV per atom
E = -9.811 eV per atom
Magnetization = 0.0 μB/f.u.

A relaxed Rb2BC crystal. Source: Alexandria, functional PBE.

a b c (Å): 12.3820 12.3820 8.8810
angles (deg): 45.80 45.80 90.00
Atoms (fractional coordinates):
1 C 0.0000 0.0000 0.0000
2 C 0.7500 0.2500 0.5000
3 B 0.5000 0.5000 0.0000
4 B 0.2500 0.7500 0.5000
5 Rb 0.8754 0.1250 0.2500
6 Rb 0.8746 0.6250 0.2500
7 Rb 0.3750 0.1246 0.7500
8 Rb 0.8750 0.1254 0.7500

DFT formation energy = 0.357 eV per atom
E = -4.103 eV per atom
Magnetization = 0.0 μB/f.u.

A relaxed HfGa6Mo crystal. Source: Alexandria, functional PBE.

a b c (Å): 5.6733 5.6733 5.6725
angles (deg): 71.72 71.72 108.27
Atoms (fractional coordinates):
1 Hf 0.5000 0.5000 0.5000
2 Ga 0.2011 0.7322 0.2679
3 Ga 0.7322 0.2011 0.2679
4 Ga 0.2678 0.7989 0.7321
5 Ga 0.7989 0.2678 0.7321
6 Ga 0.2679 0.2679 0.2010
7 Ga 0.7321 0.7321 0.7990
8 Mo 0.0000 0.0000 0.0000

DFT formation energy = -0.082 eV per atom
E = -4.951 eV per atom
Magnetization = 0.0 μB/f.u.

A relaxed Er3BiO6 crystal. Source: Alexandria, functional PBE.

a b c (Å): 6.7620 6.7620 6.7620
angles (deg): 91.19 91.19 91.19
Atoms (fractional coordinates):
1 Er 0.4463 0.9362 0.7486
2 Er 0.9362 0.7486 0.4463
3 Er 0.2514 0.5537 0.0638
4 Er 0.7486 0.4463 0.9362
5 Er 0.0638 0.2514 0.5537
6 Er 0.5537 0.0638 0.2514
7 Bi 0.0000 0.0000 0.0000
8 Bi 0.5000 0.5000 0.5000
9 O 0.3257 0.8943 0.0767
10 O 0.1057 0.9233 0.6743
11 O 0.6116 0.8293 0.4786
12 O 0.9233 0.6743 0.1057
13 O 0.4786 0.6116 0.8293
14 O 0.1707 0.5214 0.3884
15 O 0.8293 0.4786 0.6116
16 O 0.5214 0.3884 0.1707
17 O 0.0767 0.3257 0.8943
18 O 0.3884 0.1707 0.5214
19 O 0.8943 0.0767 0.3257
20 O 0.6743 0.1057 0.9233

E = -7.697 eV per atom
Magnetization = 0.0 μB/f.u.
Energy relative to the elements, uncorrected = -2.9651 eV per atom

A relaxed YInSe3 crystal. Source: Alexandria, functional PBE.

a b c (Å): 12.1356 12.1356 4.9901
angles (deg): 90.00 90.00 145.53
Atoms (fractional coordinates):
1 Y 0.2781 0.7219 0.2500
2 Y 0.7219 0.2781 0.7500
3 Se 0.9188 0.5382 0.2500
4 Se 0.4618 0.0812 0.2500
5 Se 0.5382 0.9188 0.7500
6 Se 0.0812 0.4618 0.7500
7 Se 0.0000 0.0000 0.0000
8 Se 0.0000 0.0000 0.5000
9 In 0.1058 0.8942 0.2500
10 In 0.8942 0.1058 0.7500

E = -4.740 eV per atom
Magnetization = 0.0 μB/f.u.
Energy relative to the elements, uncorrected = -0.8093 eV per atom

A relaxed Y2CuRh crystal. Source: Alexandria, functional PBE.

a b c (Å): 6.0681 6.0681 6.0681
angles (deg): 146.04 136.61 56.21
Atoms (fractional coordinates):
1 Cu 0.5434 0.5434 0.0000
2 Rh 0.7267 0.2267 0.5000
3 Y 0.9756 0.9756 0.0000
4 Y 0.2543 0.7543 0.5000

DFT formation energy = -0.360 eV per atom
E = -6.454 eV per atom
Magnetization = 0.0 μB/f.u.